1.
A relaxed structure of Rb4U3TcN8. Source: the Alexandria database, functional GGA-PBE.

Calculated values
Its mass density is 7.7 g/cm3. The density of states at the Fermi level comes out at 17.34 states/eV per cell. As for the crystal system: trigonal. For the uncorrected formation energy, the calculation gives -0.67 eV per atom. For the total energy, the calculation gives -7.836 eV per atom. The magnetization is 0.06 μB/atom.

a b c (Å): 6.8851 6.8851 20.0319
angles (deg): 90.00 90.00 120.00
Space group R-3m (No. 166, hexagonal axes)
One atom of each set of equivalent atoms:
Rb (0.0000, 0.0000, 0.0000) (multiplicity 3)
Rb (0.0000, 0.5000, 0.0000) (multiplicity 9)
U (0.0000, 0.5000, 0.5000) (multiplicity 9)
Tc (0.0000, 0.0000, 0.5000) (multiplicity 3)
N (0.0000, 0.0000, 0.2188) (multiplicity 6)
N (0.0076, 0.5038, 0.7822) (multiplicity 18)


2.
A relaxed structure of Na2SnO2. Source: the Alexandria database, functional GGA-PBE.

Calculated values
Its mass density is 3.1 g/cm3. As for the crystal system: monoclinic. For the uncorrected formation energy, the calculation gives -1.32 eV per atom. For the total energy, the calculation gives -4.629 eV per atom. The energy relative to the lowest polymorph listed for this composition comes out at 0.67 eV per formula unit. The magnetization is 0.00 μB/atom.

a b c (Å): 12.582 3.849 8.703
angles (deg): 90.00 100.17 90.00
Space group C2/m (No. 12)
One atom of each set of equivalent atoms:
Na (0.057, 0.000, 0.264) (multiplicity 4)
Na (0.156, 0.500, 0.024) (multiplicity 4)
Sn (0.163, 0.500, 0.660) (multiplicity 4)
O (0.042, 0.500, 0.780) (multiplicity 4)
O (0.213, 0.000, 0.163) (multiplicity 4)


3.
A relaxed structure of TiNb2Co. Source: the Alexandria database, functional GGA-PBE.

Calculated values
Its mass density is 7.8 g/cm3. The density of states at the Fermi level comes out at 13.78 states/eV per cell. The value obtained for the energy relative to the elements is 0.12 eV per formula unit. As for the crystal system: cubic. For the total energy, the calculation gives -8.756 eV per atom. The energy relative to the lowest polymorph listed for this composition comes out at 0.44 eV per formula unit. The magnetization is 0.02 μB/atom.

a b c (Å): 6.296 6.296 6.296
angles (deg): 90.00 90.00 90.00
Space group Fm-3m (No. 225)
One atom of each set of equivalent atoms:
Ti (0.000, 0.000, 0.000) (multiplicity 4)
Nb (0.250, 0.250, 0.250) (multiplicity 8)
Co (0.000, 0.000, 0.500) (multiplicity 4)